Version one
## Ag2PIF (PBE)

Data for a relaxed structure of Ag2PIF.

a b c (Å): 5.045 4.062 5.045
angles (deg): 90.00 90.00 90.00
Fractional positions:
Ag  0.500  0.000  0.000
Ag  0.000  0.000  0.500
I  0.500  0.500  0.500
P  0.000  0.000  0.000
F  0.000  0.500  0.000

Properties
- size of the total moment (μB per formula unit) = 0.0

=====

Version two
## Ag2PIF (PBE)

Data for a relaxed structure of Ag2PIF.

a b c (Å): 5.458 4.540 5.458
angles (deg): 90.00 90.00 90.00
Fractional positions:
F  0.000  0.500  0.000
I  0.000  0.000  0.000
Ag  0.500  0.000  0.000
Ag  0.000  0.000  0.500
P  0.500  0.500  0.500

Properties
- size of the total moment (μB per formula unit) = 1.9

=====

version one ends up most stable, edging out the next structure by 834 meV/atom.